Entry 1:
The following is a PBE-GGA calculation of a relaxed Dy4Er3Th crystal, from the Alexandria database.

a b c (Å): 6.223 7.211 11.291
angles (deg): 90.00 90.00 90.00
Fractional positions:
Dy  0.145  0.874  0.000
Dy  0.648  0.130  0.000
Dy  0.987  0.127  0.250
Dy  0.487  0.873  0.250
Dy  0.148  0.870  0.500
Dy  0.645  0.126  0.500
Dy  0.487  0.873  0.750
Dy  0.987  0.127  0.750
Er  0.647  0.622  0.000
Er  0.977  0.622  0.249
Er  0.477  0.378  0.251
Er  0.147  0.378  0.500
Er  0.477  0.378  0.749
Er  0.977  0.622  0.751
Th  0.148  0.376  0.000
Th  0.648  0.624  0.500

Calculated values
N(E_F)	1.677	states/eV per atom
energy relative to the lowest polymorph listed for this composition	0	kJ/mol of formula units
ΔE_f	0.16	eV per formula unit
uncorrected energy	-4.9202	eV per atom

=====

Entry 2:
The following is a PBE-GGA calculation of a relaxed MnTe2Mo crystal, from the Alexandria database.

a b c (Å): 4.749 4.749 3.394
angles (deg): 90.00 90.00 90.00
Fractional positions:
Mn  0.500  0.000  0.500
Mo  0.000  0.500  0.500
Te  0.000  0.000  0.000
Te  0.500  0.500  0.000

Calculated values
N(E_F)	0.728	states/eV per atom
energy relative to the lowest polymorph listed for this composition	150	kJ/mol of formula units
uncorrected energy	-6.2302	eV per atom

=====

Entry 3:
The following is a PBE-GGA calculation of a relaxed CaAc12Pd7 crystal, from the Alexandria database.

a b c (Å): 9.696 9.696 9.696
angles (deg): 107.31 107.31 107.31
Fractional positions:
Ca  0.000  0.000  0.000
Ac  0.926  0.310  0.775
Ac  0.690  0.225  0.074
Ac  0.458  0.154  0.379
Ac  0.846  0.621  0.542
Ac  0.225  0.074  0.690
Ac  0.621  0.542  0.846
Ac  0.379  0.458  0.154
Ac  0.775  0.926  0.310
Ac  0.154  0.379  0.458
Ac  0.542  0.846  0.621
Ac  0.310  0.775  0.926
Ac  0.074  0.690  0.225
Pd  0.963  0.651  0.882
Pd  0.349  0.118  0.037
Pd  0.118  0.037  0.349
Pd  0.500  0.500  0.500
Pd  0.882  0.963  0.651
Pd  0.651  0.882  0.963
Pd  0.037  0.349  0.118

Calculated values
N(E_F)	0.993	states/eV per atom
ΔE_f	-9.70	eV per formula unit
uncorrected energy	-4.8676	eV per atom

=====

Entry 4:
The following is a PBE-GGA calculation of a relaxed TmAlCo2C crystal, from the Alexandria database.

a b c (Å): 3.741 5.638 6.814
angles (deg): 90.00 90.00 109.37
Fractional positions:
Tm  0.450  0.899  0.750
Tm  0.550  0.101  0.250
Al  0.728  0.457  0.750
Al  0.272  0.543  0.250
Co  0.160  0.320  0.942
Co  0.840  0.680  0.058
Co  0.160  0.320  0.558
Co  0.840  0.680  0.442
C  0.000  0.000  0.000
C  0.000  0.000  0.500

Calculated values
N(E_F)	0.465	states/eV per atom
ΔE_f	-2.01	eV per formula unit
uncorrected energy	-6.7325	eV per atom

=====

Entry 5:
The following is a PBE-GGA calculation of a relaxed TbErPuO6 crystal, from the Alexandria database.

a b c (Å): 5.697 5.697 9.485
angles (deg): 90.00 90.00 120.00
Fractional positions:
Tb  0.000  0.000  0.000
Tb  0.000  0.000  0.500
Er  0.333  0.667  0.250
Er  0.667  0.333  0.750
Pu  0.667  0.333  0.250
Pu  0.333  0.667  0.750
O  0.666  0.643  0.134
O  0.977  0.334  0.134
O  0.334  0.977  0.634
O  0.023  0.666  0.866
O  0.357  0.334  0.366
O  0.977  0.643  0.366
O  0.643  0.977  0.866
O  0.666  0.023  0.366
O  0.023  0.357  0.634
O  0.357  0.023  0.134
O  0.643  0.666  0.634
O  0.334  0.357  0.866

Calculated values
N(E_F)	0.816	states/eV per atom
uncorrected energy	-8.9942	eV per atom

=====

Entry 6:
The following is a PBE-GGA calculation of a relaxed AgW2Br crystal, from the Alexandria database.

a b c (Å): 4.984 3.269 5.234
angles (deg): 100.45 90.00 90.00
Fractional positions:
Br  0.500  0.750  0.750
Ag  0.500  0.250  0.250
W  0.000  0.939  0.076
W  0.000  0.561  0.424

Calculated values
N(E_F)	0.510	states/eV per atom
energy relative to the lowest polymorph listed for this composition	201	kJ/mol of formula units
uncorrected energy	-6.5910	eV per atom